<1>
# CaGd2Cd

Crystalline CaGd2Cd at its relaxed geometry (GGA-PBE, Alexandria via LeMat-Bulk).

## Properties
Total moment = 15.4 μB per cell
Symmetry = P4/mmm, No. 123
Calculated density = 5992 kg/m3

The structure in CIF format:
```
data_CaGd2Cd
_cell_length_a 3.765
_cell_length_b 3.765
_cell_length_c 9.130
_cell_angle_alpha 90.00
_cell_angle_beta 90.00
_cell_angle_gamma 90.00
_symmetry_space_group_name_H-M 'P 1'
_symmetry_Int_Tables_number 1
_symmetry_space_group_name_Hall 'P 1'
loop_
_atom_site_label
_atom_site_type_symbol
_atom_site_fract_x
_atom_site_fract_y
_atom_site_fract_z
Gd1 Gd 0.000 0.000 0.798
Gd2 Gd 0.000 0.000 0.202
Ca1 Ca 0.500 0.500 0.500
Cd1 Cd 0.500 0.500 0.000
```

---

<2>
# CaGd2Cd

Crystalline CaGd2Cd at its relaxed geometry (GGA-PBE, Alexandria via LeMat-Bulk).

## Properties
Total moment = 14.9 μB per cell
Symmetry = Fm-3m, No. 225
Calculated density = 6442 kg/m3

The structure in CIF format:
```
data_CaGd2Cd
_cell_length_a 5.542
_cell_length_b 5.542
_cell_length_c 5.542
_cell_angle_alpha 60.00
_cell_angle_beta 60.00
_cell_angle_gamma 60.00
_symmetry_space_group_name_H-M 'P 1'
_symmetry_Int_Tables_number 1
_symmetry_space_group_name_Hall 'P 1'
loop_
_atom_site_label
_atom_site_type_symbol
_atom_site_fract_x
_atom_site_fract_y
_atom_site_fract_z
Cd1 Cd 0.000 0.000 0.000
Gd1 Gd 0.750 0.750 0.750
Gd2 Gd 0.250 0.250 0.250
Ca1 Ca 0.500 0.500 0.500
```

---

<3>
# CaGd2Cd

Crystalline CaGd2Cd at its relaxed geometry (GGA-PBE, Alexandria via LeMat-Bulk).

## Properties
Total moment = 15.6 μB per cell
Symmetry = R-3m, No. 166
Calculated density = 5865 kg/m3

The structure in CIF format:
```
data_CaGd2Cd
_cell_length_a 3.582
_cell_length_b 3.582
_cell_length_c 12.078
_cell_angle_alpha 81.47
_cell_angle_beta 81.47
_cell_angle_gamma 60.00
_symmetry_space_group_name_H-M 'P 1'
_symmetry_Int_Tables_number 1
_symmetry_space_group_name_Hall 'P 1'
loop_
_atom_site_label
_atom_site_type_symbol
_atom_site_fract_x
_atom_site_fract_y
_atom_site_fract_z
Ca1 Ca 0.000 0.000 0.000
Gd1 Gd 0.904 0.904 0.289
Cd1 Cd 0.500 0.500 0.500
Gd2 Gd 0.096 0.096 0.711
```

---

Stability, lowest: <3>

---

<1>
# CaCd3Ge

Crystalline CaCd3Ge at its relaxed geometry (GGA-PBE, Alexandria via LeMat-Bulk).

## Properties
Total moment = 0.0 μB per cell
Symmetry = Pm-3m, No. 221
Calculated density = 4992 kg/m3

The structure in CIF format:
```
data_CaCd3Ge
_cell_length_a 5.309
_cell_length_b 5.309
_cell_length_c 5.309
_cell_angle_alpha 90.00
_cell_angle_beta 90.00
_cell_angle_gamma 90.00
_symmetry_space_group_name_H-M 'P 1'
_symmetry_Int_Tables_number 1
_symmetry_space_group_name_Hall 'P 1'
loop_
_atom_site_label
_atom_site_type_symbol
_atom_site_fract_x
_atom_site_fract_y
_atom_site_fract_z
Ge1 Ge 0.000 0.000 0.000
Ca1 Ca 0.500 0.500 0.500
Cd1 Cd 0.000 0.000 0.500
Cd2 Cd 0.000 0.500 0.000
Cd3 Cd 0.500 0.000 0.000
```

---

<2>
# CaCd3Ge

Crystalline CaCd3Ge at its relaxed geometry (GGA-PBE, Alexandria via LeMat-Bulk).

## Properties
Total moment = 0.0 μB per cell
Symmetry = Pm-3m, No. 221
Calculated density = 3958 kg/m3

The structure in CIF format:
```
data_CaCd3Ge
_cell_length_a 5.737
_cell_length_b 5.737
_cell_length_c 5.737
_cell_angle_alpha 90.00
_cell_angle_beta 90.00
_cell_angle_gamma 90.00
_symmetry_space_group_name_H-M 'P 1'
_symmetry_Int_Tables_number 1
_symmetry_space_group_name_Hall 'P 1'
loop_
_atom_site_label
_atom_site_type_symbol
_atom_site_fract_x
_atom_site_fract_y
_atom_site_fract_z
Cd1 Cd 0.000 0.000 0.500
Cd2 Cd 0.000 0.500 0.000
Ge1 Ge 0.500 0.500 0.500
Ca1 Ca 0.000 0.000 0.000
Cd3 Cd 0.500 0.000 0.000
```

---

Stability, lowest: <2>